# 1
Density functional theory data (PBE) for a relaxed structure of PaTlIn2F8.

Properties
* total energy: -5.4931 eV per atom
* crystal system: tetragonal
* total moment: 0.000 μB/atom
* ρ: 5.7 g/cm3

Cell: 7.6033 7.6033 7.6033 Å, 132.02 132.02 70.20°
Element x y z (fractional)
Pa: 0.0000 0.0000 0.0000
Tl: 0.2500 0.7500 0.5000
In: 0.5000 0.5000 0.0000
In: 0.7500 0.2500 0.5000
F: 0.1043 0.1060 0.4180
F: 0.1043 0.6864 0.9983
F: 0.3136 0.3119 0.4180
F: 0.3136 0.8957 0.0017
F: 0.6881 0.1060 0.0017
F: 0.6881 0.6864 0.5820
F: 0.8940 0.3119 0.9983
F: 0.8940 0.8957 0.5820



# 2
Density functional theory data (PBE) for a relaxed structure of PaTl2InF8.

Properties
* total energy: -5.4987 eV per atom
* crystal system: tetragonal
* total moment: 0.000 μB/atom
* ρ: 6.3 g/cm3

Cell: 7.5646 7.5646 7.5646 Å, 131.11 131.11 71.64°
Element x y z (fractional)
Pa: 0.0000 0.0000 0.0000
Tl: 0.5000 0.5000 0.0000
Tl: 0.7500 0.2500 0.5000
In: 0.2500 0.7500 0.5000
F: 0.1016 0.0997 0.4122
F: 0.1016 0.6894 0.0019
F: 0.3106 0.3124 0.4122
F: 0.3106 0.8984 0.9981
F: 0.6876 0.0997 0.9981
F: 0.6876 0.6894 0.5878
F: 0.9003 0.3124 0.0019
F: 0.9003 0.8984 0.5878



# 3
Density functional theory data (PBE) for a relaxed structure of InPb3F.

Properties
* total energy: -3.5896 eV per atom
* crystal system: cubic
* total moment: 0.000 μB/atom
* ρ: 8.9 g/cm3

Cell: 5.2018 5.2018 5.2018 Å, 90.00 90.00 90.00°
Element x y z (fractional)
In: 0.0000 0.0000 0.0000
Pb: 0.0000 0.5000 0.5000
Pb: 0.5000 0.0000 0.5000
Pb: 0.5000 0.5000 0.0000
F: 0.5000 0.5000 0.5000



# 4
Density functional theory data (PBE) for a relaxed structure of In3PbF.

Properties
* total energy: -3.2582 eV per atom
* crystal system: cubic
* total moment: 0.000 μB/atom
* ρ: 7.1 g/cm3

Cell: 5.1071 5.1071 5.1071 Å, 90.00 90.00 90.00°
Element x y z (fractional)
In: 0.0000 0.0000 0.5000
In: 0.0000 0.5000 0.0000
In: 0.5000 0.0000 0.0000
Pb: 0.5000 0.5000 0.5000
F: 0.0000 0.0000 0.0000



# 5
Density functional theory data (PBE) for a relaxed structure of InPbF3.

Properties
* total energy: -4.1544 eV per atom
* crystal system: cubic
* total moment: 0.000 μB/atom
* ρ: 6.7 g/cm3

Cell: 4.5382 4.5382 4.5382 Å, 90.00 90.00 90.00°
Element x y z (fractional)
In: 0.0000 0.0000 0.0000
Pb: 0.5000 0.5000 0.5000
F: 0.0000 0.0000 0.5000
F: 0.0000 0.5000 0.0000
F: 0.5000 0.0000 0.0000



# 6
Density functional theory data (PBE) for a relaxed structure of In2PbF4.

Properties
* total energy: -4.3842 eV per atom
* crystal system: monoclinic
* total moment: 0.000 μB/atom
* ρ: 6.0 g/cm3

Cell: 8.6622 8.6622 4.1669 Å, 103.77 103.77 27.92°
Element x y z (fractional)
In: 0.1780 0.1780 0.1769
In: 0.8220 0.8220 0.8231
Pb: 0.5000 0.5000 0.5000
F: 0.0933 0.0933 0.5926
F: 0.4065 0.4065 0.9075
F: 0.5935 0.5935 0.0925
F: 0.9067 0.9067 0.4074



One value per record, in order, for E_form (uncorrected): -2801 -2837 -443 -499 -1742 -2003 meV per atom.
One value per record, in order, for V: 19.82 20.03 28.15 26.64 18.69 20.28 A^3/atom.